(1)
A relaxed Sm2Ge2O7 crystal, computed with GGA-PBE.

Cell: 7.214 9.443 5.030 Å, 90.00 102.02 90.00°
Space group C2/m (No. 12)
One atom of each set of equivalent atoms:
1 Sm 0.000 0.195 0.000 x4
2 Ge 0.225 0.500 0.410 x4
3 O 0.000 0.500 0.500 x2
4 O 0.108 0.000 0.280 x4
5 O 0.239 0.346 0.215 x8

Results
ρ: 5.530 g cm⁻³
raw formation energy: -2556 meV per atom
uncorrected energy: -7.41 eV per atom
crystal system: monoclinic
energy above the most stable polymorph in this dataset: 12 meV per atom

***

(2)
A relaxed MgZr5In6 crystal, computed with GGA-PBE.

Cell: 15.393 6.285 5.483 Å, 90.00 90.08 90.00°
Space group C2/m (No. 12)
One atom of each set of equivalent atoms:
1 Mg 0.000 0.000 0.000 x2
2 Zr 0.000 0.500 0.000 x2
3 Zr 0.164 0.000 0.319 x4
4 Zr 0.168 0.500 0.334 x4
5 In 0.000 0.250 0.500 x4
6 In 0.166 0.250 0.829 x8

Results
ρ: 7.322 g cm⁻³
energy relative to the elements: -284 meV/atom
uncorrected energy: -5.35 eV per atom
crystal system: monoclinic

***

(3)
A relaxed SrMo2P crystal, computed with GGA-PBE.

Cell: 3.5172 3.5172 24.0909 Å, 90.00 90.00 120.00°
Space group R-3m (No. 166, hexagonal axes)
One atom of each set of equivalent atoms:
1 Sr 0.0000 0.0000 0.0000 x3
2 Mo 0.0000 0.0000 0.2162 x6
3 P 0.0000 0.0000 0.5000 x3

Results
ρ: 5.993 g cm⁻³
energy relative to the elements: 288 meV/atom
uncorrected energy: -6.90 eV per atom
crystal system: trigonal

***

(4)
A relaxed SmDyTh2S4 crystal, computed with GGA-PBE.

Cell: 6.836 3.992 7.024 Å, 90.00 109.22 90.00°
Space group P2/m (No. 10)
One atom of each set of equivalent atoms:
1 Sm 0.000 0.000 0.000 x1
2 Dy 0.500 0.500 0.000 x1
3 Th 0.000 0.500 0.500 x1
4 Th 0.500 0.000 0.500 x1
5 S 0.251 0.500 0.241 x2
6 S 0.258 0.000 0.762 x2

Results
ρ: 8.306 g cm⁻³
raw formation energy: -1911 meV per atom
uncorrected energy: -6.99 eV per atom
crystal system: monoclinic

***

(5)
A relaxed AlCdOs2 crystal, computed with GGA-PBE.

Cell: 2.8108 2.8108 27.3334 Å, 90.00 90.00 120.00°
Space group R-3m (No. 166, hexagonal axes)
One atom of each set of equivalent atoms:
1 Al 0.0000 0.0000 0.0000 x3
2 Cd 0.0000 0.0000 0.5000 x3
3 Os 0.0000 0.0000 0.2587 x6

Results
ρ: 13.847 g cm⁻³
energy relative to the elements: 198 meV/atom
uncorrected energy: -6.58 eV per atom
crystal system: trigonal
energy above the most stable polymorph in this dataset: 100 meV per atom

***

(6)
A relaxed ZnCoNi6 crystal, computed with GGA-PBE.

Cell: 3.551 3.551 7.090 Å, 90.00 90.00 90.00°
Space group P4/mmm (No. 123)
One atom of each set of equivalent atoms:
1 Zn 0.000 0.000 0.000 x1
2 Co 0.000 0.000 0.500 x1
3 Ni 0.000 0.500 0.257 x4
4 Ni 0.500 0.500 0.000 x1
5 Ni 0.500 0.500 0.500 x1

Results
ρ: 8.850 g cm⁻³
energy relative to the elements: -65 meV/atom
uncorrected energy: -5.45 eV per atom
crystal system: tetragonal
energy above the most stable polymorph in this dataset: 0 meV per atom

***

(7)
A relaxed FeSb2PI crystal, computed with GGA-PBE.

Cell: 5.212 5.212 5.199 Å, 90.00 90.00 90.00°
Space group P4/mmm (No. 123)
One atom of each set of equivalent atoms:
1 Fe 0.000 0.000 0.000 x1
2 Sb 0.000 0.500 0.500 x2
3 P 0.500 0.500 0.500 x1
4 I 0.500 0.500 0.000 x1

Results
ρ: 5.376 g cm⁻³
raw formation energy: 1351 meV per atom
uncorrected energy: -3.38 eV per atom
crystal system: tetragonal
energy above the most stable polymorph in this dataset: 583 meV per atom

***

(8)
A relaxed Pm2Al6CoPt crystal, computed with GGA-PBE.

Cell: 11.395 6.590 6.596 Å, 90.00 125.12 90.00°
Space group C2/m (No. 12)
One atom of each set of equivalent atoms:
1 Pm 0.250 0.000 0.250 x4
2 Al 0.000 0.240 0.260 x8
3 Al 0.240 0.000 0.740 x4
4 Co 0.000 0.000 0.500 x2
5 Pt 0.000 0.500 0.000 x2

Results
ρ: 5.787 g cm⁻³
energy relative to the elements: -416 meV/atom
uncorrected energy: -4.93 eV per atom
crystal system: monoclinic

***

(9)
A relaxed Tm5Ni2Os crystal, computed with GGA-PBE.

Cell: 6.977 6.977 14.280 Å, 90.00 90.00 90.00°
Space group I4/mcm (No. 140)
One atom of each set of equivalent atoms:
1 Tm 0.000 0.000 0.000 x4
2 Tm 0.176 0.324 0.147 x16
3 Ni 0.118 0.382 0.500 x8
4 Os 0.000 0.000 0.250 x4

Results
ρ: 11.010 g cm⁻³
energy relative to the elements: -395 meV/atom
uncorrected energy: -6.04 eV per atom
crystal system: tetragonal

***

(10)
A relaxed KThNiTe3 crystal, computed with GGA-PBE.

Cell: 9.889 4.349 10.281 Å, 90.00 109.00 90.00°
Space group P2_1/m (No. 11)
One atom of each set of equivalent atoms:
1 K 0.205 0.250 0.246 x2
2 Th 0.308 0.750 0.834 x2
3 Ni 0.101 0.250 0.612 x2
4 Te 0.099 0.250 0.866 x2
5 Te 0.172 0.750 0.516 x2
6 Te 0.456 0.750 0.165 x2

Results
ρ: 5.661 g cm⁻³
raw formation energy: -910 meV per atom
uncorrected energy: -4.86 eV per atom
crystal system: monoclinic

***

(11)
A relaxed YHf3Au crystal, computed with GGA-PBE.

Cell: 5.181 5.181 5.181 Å, 90.00 90.00 90.00°
Space group Pm-3m (No. 221)
One atom of each set of equivalent atoms:
1 Y 0.000 0.000 0.000 x1
2 Hf 0.000 0.500 0.500 x3
3 Au 0.500 0.500 0.500 x1

Results
ρ: 9.808 g cm⁻³
energy relative to the elements: 516 meV/atom
uncorrected energy: -7.40 eV per atom
crystal system: cubic
energy above the most stable polymorph in this dataset: 0 meV per atom

***

(12)
A relaxed UAlO4 crystal, computed with GGA-PBE.

Cell: 5.569 4.907 5.806 Å, 90.00 112.64 90.00°
Space group P2_1/c (No. 14)
One atom of each set of equivalent atoms:
1 U 0.000 0.000 0.000 x2
2 Al 0.500 0.000 0.500 x2
3 O 0.177 0.165 0.381 x4
4 O 0.359 0.703 0.671 x4

Results
ρ: 7.462 g cm⁻³
raw formation energy: -3010 meV per atom
uncorrected energy: -8.82 eV per atom
crystal system: monoclinic

***

(13)
A relaxed Dy2TmScSb4 crystal, computed with GGA-PBE.

Cell: 7.480 4.324 7.485 Å, 90.00 109.48 90.00°
Space group P2/m (No. 10)
One atom of each set of equivalent atoms:
1 Dy 0.000 0.000 0.000 x1
2 Dy 0.000 0.500 0.500 x1
3 Tm 0.500 0.000 0.500 x1
4 Sc 0.500 0.500 0.000 x1
5 Sb 0.257 0.500 0.247 x2
6 Sb 0.261 0.000 0.759 x2

Results
ρ: 7.464 g cm⁻³
raw formation energy: -1059 meV per atom
uncorrected energy: -5.62 eV per atom
crystal system: monoclinic

***

(14)
A relaxed Ac7P5S crystal, computed with GGA-PBE.

Cell: 14.579 4.379 25.999 Å, 90.00 90.05 90.00°
Space group Cm (No. 8)
One atom of each set of equivalent atoms:
1 Ac 0.000 0.000 0.000 x2
2 Ac 0.000 0.000 0.147 x2
3 Ac 0.043 0.500 0.288 x2
4 Ac 0.043 0.500 0.859 x2
5 Ac 0.096 0.000 0.719 x2
6 Ac 0.097 0.000 0.428 x2
7 Ac 0.138 0.500 0.573 x2
8 Ac 0.225 0.500 0.073 x2
9 Ac 0.267 0.000 0.219 x2
10 Ac 0.267 0.000 0.928 x2
11 Ac 0.320 0.500 0.359 x2
12 Ac 0.320 0.500 0.788 x2
13 Ac 0.363 0.000 0.647 x2
14 Ac 0.364 0.000 0.500 x2
15 P 0.133 0.500 0.177 x2
16 P 0.133 0.500 0.970 x2
17 P 0.182 0.000 0.323 x2
18 P 0.182 0.000 0.823 x2
19 P 0.230 0.500 0.677 x2
20 P 0.231 0.500 0.470 x2
21 P 0.407 0.500 0.248 x2
22 P 0.407 0.500 0.899 x2
23 P 0.456 0.000 0.399 x2
24 P 0.456 0.000 0.748 x2
25 S 0.383 0.000 0.073 x2
26 S 0.480 0.500 0.574 x2

Results
ρ: 7.107 g cm⁻³
raw formation energy: -1379 meV per atom
uncorrected energy: -5.99 eV per atom
crystal system: monoclinic

***

(15)
A relaxed MgSi2Ag crystal, computed with GGA-PBE.

Cell: 2.948 2.948 7.882 Å, 90.00 90.00 90.00°
Space group P4/mmm (No. 123)
One atom of each set of equivalent atoms:
1 Mg 0.000 0.000 0.000 x1
2 Si 0.500 0.500 0.250 x2
3 Ag 0.000 0.000 0.500 x1

Results
ρ: 4.567 g cm⁻³
raw formation energy: 264 meV per atom
uncorrected energy: -3.56 eV per atom
crystal system: tetragonal

***

(16)
A relaxed PdRhCl crystal, computed with GGA-PBE.

Cell: 12.364 2.916 5.355 Å, 90.00 90.00 90.00°
Space group Amm2 (No. 38)
One atom of each set of equivalent atoms:
1 Pd 0.000 0.000 0.000 x2
2 Pd 0.500 0.000 0.301 x2
3 Rh 0.168 0.000 0.329 x4
4 Cl 0.329 0.000 0.808 x4

Results
ρ: 8.421 g cm⁻³
raw formation energy: 295 meV per atom
uncorrected energy: -4.50 eV per atom
crystal system: orthorhombic

***

(17)
A relaxed Na2Pb crystal, computed with GGA-PBE.

Cell: 13.875 6.174 8.970 Å, 90.00 90.00 90.00°
Space group Cmce (No. 64)
One atom of each set of equivalent atoms:
1 Na 0.000 0.026 0.172 x8
2 Na 0.250 0.244 0.750 x8
3 Pb 0.108 0.000 0.500 x8

Results
ρ: 4.377 g cm⁻³
energy relative to the elements: -96 meV/atom
uncorrected energy: -2.21 eV per atom
crystal system: orthorhombic

***

(18)
A relaxed Sc2TcRhC crystal, computed with GGA-PBE.

Cell: 4.519 4.519 3.889 Å, 90.00 90.00 90.00°
Space group P4/mmm (No. 123)
One atom of each set of equivalent atoms:
1 Sc 0.000 0.500 0.000 x2
2 Tc 0.000 0.000 0.500 x1
3 Rh 0.500 0.500 0.500 x1
4 C 0.000 0.000 0.000 x1

Results
ρ: 6.332 g cm⁻³
energy relative to the elements: -417 meV/atom
uncorrected energy: -8.34 eV per atom
crystal system: tetragonal

***

(19)
A relaxed Hf2Ni2Sb crystal, computed with GGA-PBE.

Cell: 6.829 6.829 3.663 Å, 90.00 90.00 90.00°
Space group P4/mbm (No. 127)
One atom of each set of equivalent atoms:
1 Hf 0.165 0.335 0.000 x4
2 Ni 0.126 0.626 0.500 x4
3 Sb 0.000 0.000 0.500 x2

Results
ρ: 11.589 g cm⁻³
raw formation energy: -554 meV per atom
uncorrected energy: -7.67 eV per atom
crystal system: tetragonal
energy above the most stable polymorph in this dataset: 0 meV per atom

***

(20)
A relaxed ErPaCrOs crystal, computed with GGA-PBE.

Cell: 6.822 6.822 6.822 Å, 90.00 90.00 90.00°
Space group F-43m (No. 216)
One atom of each set of equivalent atoms:
1 Er 0.000 0.000 0.000 x4
2 Pa 0.000 0.000 0.500 x4
3 Cr 0.250 0.250 0.750 x4
4 Os 0.250 0.250 0.250 x4

Results
ρ: 13.402 g cm⁻³
energy relative to the elements: 41 meV/atom
uncorrected energy: -8.69 eV per atom
crystal system: cubic

***

(21)
A relaxed CaPm6Sm5 crystal, computed with GGA-PBE.

Cell: 12.110 10.995 6.334 Å, 90.00 100.06 90.00°
Space group C2/m (No. 12)
One atom of each set of equivalent atoms:
1 Ca 0.000 0.000 0.000 x2
2 Pm 0.246 0.330 0.747 x8
3 Pm 0.248 0.500 0.258 x4
4 Sm 0.000 0.171 0.500 x4
5 Sm 0.000 0.338 0.000 x4
6 Sm 0.000 0.500 0.500 x2

Results
ρ: 6.647 g cm⁻³
energy relative to the elements: 32 meV/atom
uncorrected energy: -4.48 eV per atom
crystal system: monoclinic

***

(22)
A relaxed Rb2Zn3RuF12 crystal, computed with GGA-PBE.

Cell: 7.3651 7.3651 19.2370 Å, 90.00 90.00 120.00°
Space group R-3m (No. 166, hexagonal axes)
One atom of each set of equivalent atoms:
1 Rb 0.0000 0.0000 0.1024 x6
2 Zn 0.0000 0.5000 0.0000 x9
3 Ru 0.0000 0.0000 0.5000 x3
4 F 0.0661 0.5331 0.3568 x18
5 F 0.0760 0.5380 0.1116 x18

Results
ρ: 3.838 g cm⁻³
raw formation energy: -2286 meV per atom
uncorrected energy: -4.37 eV per atom
crystal system: trigonal

***

(23)
A relaxed LiCo2Te crystal, computed with GGA-PBE.

Cell: 2.997 4.012 5.213 Å, 90.00 103.83 90.00°
Space group Pm (No. 6)
One atom of each set of equivalent atoms:
1 Li 0.000 0.000 0.000 x1
2 Co 0.262 0.500 0.702 x1
3 Co 0.573 0.000 0.551 x1
4 Te 0.574 0.500 0.242 x1

Results
ρ: 6.885 g cm⁻³
raw formation energy: 191 meV per atom
uncorrected energy: -4.63 eV per atom
crystal system: monoclinic